Computed, not measured: crystalline Y4CrW at its relaxed geometry at the PBE level of DFT.

Results
Formation energy   1.16 eV/atom
Density   6.21 g cm⁻³
VASP energy   -6.909 eV per atom

a = 6.070 Å, b = 6.070 Å, c = 6.070 Å
α = 60.00°, β = 60.00°, γ = 60.00°
Positions (direct):
Y 0.879 0.374 0.374
Y 0.374 0.374 0.879
Y 0.374 0.879 0.374
Y 0.374 0.374 0.374
Cr 0.750 0.750 0.750
W 0.000 0.000 0.000